Compound: GeBi2S6
Source: Alexandria
Functional: GGA-PBE
Structure: optimized geometry

## Properties
The symmetry is P4_2/mnm (136). For the density of states at the Fermi level, the calculation gives 18.7 states/eV/cell. As for the formation energy (no corrections): 60 kJ/mol of formula units. As for the raw total energy: -4.058 eV/atom.

Lattice parameters (Å, degrees): 6.226 6.226 11.915 90.00 90.00 90.00
Atoms (fractional coordinates):
Ge (0.000, 0.000, 0.000)
Ge (0.500, 0.500, 0.500)
Bi (0.000, 0.000, 0.333)
Bi (0.000, 0.000, 0.667)
Bi (0.500, 0.500, 0.167)
Bi (0.500, 0.500, 0.833)
S (0.184, 0.184, 0.149)
S (0.184, 0.184, 0.851)
S (0.223, 0.223, 0.500)
S (0.277, 0.723, 0.000)
S (0.316, 0.684, 0.351)
S (0.316, 0.684, 0.649)
S (0.684, 0.316, 0.351)
S (0.684, 0.316, 0.649)
S (0.723, 0.277, 0.000)
S (0.777, 0.777, 0.500)
S (0.816, 0.816, 0.149)
S (0.816, 0.816, 0.851)